Record 1
VASP calculation (PBE) on a geometry-optimized BaMgInP2 structure.

Results
**Energy of formation**: -0.470 eV/atom

CIF file:
```
data_BaMgInP2
_cell_length_a 7.5140
_cell_length_b 6.0438
_cell_length_c 6.2389
_cell_angle_alpha 90.00
_cell_angle_beta 114.36
_cell_angle_gamma 90.00
_space_group_name_H-M_alt 'P 1 2/c 1'
_space_group_IT_number 13
loop_
_space_group_symop_operation_xyz
'x,y,z'
'-x,-y,-z'
'-x,y,-z+1/2'
'x,-y,z+1/2'
loop_
_atom_site_label
_atom_site_fract_x
_atom_site_fract_y
_atom_site_fract_z
Ba1 0.0000 0.2345 0.2500
Mg1 0.5000 0.4981 0.2500
In1 0.5000 0.0000 0.0000
P1 0.2399 0.2879 0.8688
```

Record 2
VASP calculation (PBE) on a geometry-optimized Ba2MgIn3Pb4 structure.

Results
**Energy of formation**: -0.289 eV/atom

CIF file:
```
data_Ba2MgIn3Pb4
_cell_length_a 5.0324
_cell_length_b 5.0324
_cell_length_c 13.4090
_cell_angle_alpha 90.00
_cell_angle_beta 90.00
_cell_angle_gamma 90.00
_space_group_name_H-M_alt 'P -4 m 2'
_space_group_IT_number 115
loop_
_space_group_symop_operation_xyz
'x,y,z'
'y,-x,-z'
'-x,-y,z'
'-y,x,-z'
'-x,y,z'
'-y,-x,-z'
'x,-y,z'
'y,x,-z'
loop_
_atom_site_label
_atom_site_fract_x
_atom_site_fract_y
_atom_site_fract_z
Ba1 0.0000 0.5000 0.2465
Mg1 0.5000 0.5000 0.0000
In1 0.0000 0.0000 0.0000
In2 0.0000 0.5000 0.6404
Pb1 0.0000 0.0000 0.5000
Pb2 0.0000 0.5000 0.8669
Pb3 0.5000 0.5000 0.5000
```

Record 3
VASP calculation (PBE) on a geometry-optimized BaMgInPb structure.

Results
**Energy of formation**: -0.244 eV/atom

CIF file:
```
data_BaMgInPb
_cell_length_a 7.9921
_cell_length_b 7.9921
_cell_length_c 7.9921
_cell_angle_alpha 90.00
_cell_angle_beta 90.00
_cell_angle_gamma 90.00
_space_group_name_H-M_alt 'F -4 3 m'
_space_group_IT_number 216
_space_group_name_Hall 'F -4 2 3'
loop_
_atom_site_label
_atom_site_fract_x
_atom_site_fract_y
_atom_site_fract_z
Ba1 0.0000 0.0000 0.0000
Mg1 0.0000 0.0000 0.5000
In1 0.2500 0.2500 0.2500
Pb1 0.2500 0.2500 0.7500
```

Record 4
VASP calculation (PBE) on a geometry-optimized Ba2Mg4In3Pb structure.

Results
**Energy of formation**: -0.298 eV/atom

CIF file:
```
data_Ba2Mg4In3Pb
_cell_length_a 4.9826
_cell_length_b 4.9826
_cell_length_c 12.3332
_cell_angle_alpha 90.00
_cell_angle_beta 90.00
_cell_angle_gamma 90.00
_space_group_name_H-M_alt 'P -4 m 2'
_space_group_IT_number 115
loop_
_space_group_symop_operation_xyz
'x,y,z'
'y,-x,-z'
'-x,-y,z'
'-y,x,-z'
'-x,y,z'
'-y,-x,-z'
'x,-y,z'
'y,x,-z'
loop_
_atom_site_label
_atom_site_fract_x
_atom_site_fract_y
_atom_site_fract_z
Ba1 0.0000 0.5000 0.2495
Mg1 0.0000 0.0000 0.0000
Mg2 0.0000 0.5000 0.6362
Mg3 0.5000 0.5000 0.0000
In1 0.0000 0.5000 0.8690
In2 0.5000 0.5000 0.5000
Pb1 0.0000 0.0000 0.5000
```

It is found that the density values, taken in the order of the records, are 4.354; 7.199; 6.293; 5.009 g cm⁻³.